DFT (GGA-PBE) results for an optimized crystal structure of LiMgAsAu.

Unit cell a=4.6249 b=4.6249 c=4.6249 alpha=60.00 beta=60.00 gamma=60.00
Fractional coordinates of all 4 atoms:
Li 0.0000 0.0000 0.0000
Mg 0.5000 0.5000 0.5000
As 0.2500 0.2500 0.2500
Au 0.7500 0.7500 0.7500

Properties
* spin magnetization: 0.0 Bohr magnetons per cell
* volume: 17.487 Å³/atom
* VASP energy: -3.32 eV per atom
* formation energy from the elements: -0.463 eV/atom


DFT (GGA-PBE) results for an optimized crystal structure of Nb2CuHgO.

Unit cell a=5.0312 b=5.0312 c=3.4292 alpha=90.00 beta=90.00 gamma=90.00
Fractional coordinates of all 5 atoms:
Nb 0.0000 0.5000 0.0000
Nb 0.5000 0.0000 0.0000
Cu 0.0000 0.0000 0.0000
Hg 0.5000 0.5000 0.5000
O 0.0000 0.0000 0.5000

Properties
* uncorrected formation energy: 0.684 eV/atom
* spin magnetization: 0.0 Bohr magnetons per cell
* volume: 17.361 Å³/atom
* VASP energy: -5.22 eV per atom


DFT (GGA-PBE) results for an optimized crystal structure of Sm2TmCu4.

Unit cell a=5.5047 b=5.5047 c=6.7217 alpha=106.44 beta=106.44 gamma=47.56
Fractional coordinates of all 7 atoms:
Sm 0.1467 0.1467 0.2270
Sm 0.8533 0.8533 0.7730
Tm 0.5000 0.5000 0.5000
Cu 0.1511 0.1511 0.7518
Cu 0.3978 0.3978 0.0722
Cu 0.6022 0.6022 0.9278
Cu 0.8489 0.8489 0.2482

Properties
* spin magnetization: 0.0 Bohr magnetons per cell
* volume: 20.420 Å³/atom
* VASP energy: -4.52 eV per atom
* formation energy from the elements: -0.188 eV/atom